The following is a PBE calculation of Tb6DyHo2Mg after structural relaxation, from the Alexandria database.

```
Tb6DyHo2Mg
1.0
-7.712 -4.130 3.708
-1.673 -2.613 -8.050
5.550 -4.809 4.528
Tb Dy Ho Mg
12 2 4 2
Cartesian
3.592 -4.171 2.633 Tb
1.009 -6.709 3.674 Tb
-7.427 -7.382 -2.448 Tb
-4.844 -4.843 -3.488 Tb
-1.653 -5.967 -4.871 Tb
-2.360 -2.294 -3.823 Tb
-2.182 -5.585 5.056 Tb
-1.475 -9.259 4.009 Tb
0.703 -4.697 -2.990 Tb
-2.174 -4.337 -1.275 Tb
-4.539 -6.855 3.176 Tb
-1.661 -7.215 1.461 Tb
-3.456 -3.690 -6.871 Dy
-0.379 -7.863 7.057 Dy
-0.922 -7.308 -1.605 Ho
0.218 -1.959 -1.325 Ho
-2.914 -4.245 1.791 Ho
-4.053 -9.593 1.511 Ho
0.687 -4.949 0.344 Mg
-4.522 -6.603 -0.158 Mg
```

Density = 7.8 g/cm3
E_form = 0.123 eV per atom